(1)
A plane-wave DFT calculation with PBE was carried out for a relaxed SrZrPd crystal.

Computed properties:
SG	F-43m, No. 216
total moment	0.0001	μB per atom
E_tot	-4.99	eV per atom
ΔE to the lowest computed polymorph	0	meV per atom

```
SrZrPd
1.0
0.000 3.462 3.462
3.462 0.000 3.462
3.462 3.462 0.000
Sr Zr Pd
1 1 1
Direct
0.000 0.000 0.000
0.500 0.500 0.500
0.250 0.250 0.250
```

(2)
A plane-wave DFT calculation with PBE was carried out for a relaxed NdAlPO crystal.

Computed properties:
SG	Pmc2_1, No. 26
total moment	0.0000	μB per atom
E_tot	-6.40	eV per atom
ΔE to the lowest computed polymorph	0	meV per atom

```
NdAlPO
1.0
4.008 0.000 0.000
0.000 4.599 0.000
0.000 0.000 7.031
Nd Al P O
2 2 2 2
Direct
0.000 0.180 0.000
0.000 0.820 0.500
0.500 0.322 0.347
0.500 0.678 0.847
0.500 0.185 0.690
0.500 0.815 0.190
0.000 0.321 0.348
0.000 0.679 0.848
```

(3)
A plane-wave DFT calculation with PBE was carried out for a relaxed Zr4CoSiN2 crystal.

Computed properties:
SG	P-6m2, No. 187
total moment	0.0574	μB per atom
E_tot	-8.88	eV per atom

```
Zr4CoSiN2
1.0
3.239 0.000 0.000
-1.620 2.805 0.000
0.000 0.000 13.333
Zr Co Si N
4 1 1 2
Direct
0.000 0.000 0.144
0.000 0.000 0.856
0.333 0.667 0.343
0.333 0.667 0.657
0.333 0.667 0.000
0.000 0.000 0.500
0.667 0.333 0.244
0.667 0.333 0.756
```

(4)
A plane-wave DFT calculation with PBE was carried out for a relaxed PmZr crystal.

Computed properties:
SG	P2_1/m, No. 11
total moment	0.0001	μB per atom
E_tot	-6.53	eV per atom
ΔE to the lowest computed polymorph	36	meV per atom
ΔH_f (0 K)	0.2	eV/f.u.

```
PmZr
1.0
6.785 0.000 0.000
0.000 5.469 0.000
-1.501 0.000 9.105
Pm Zr
6 6
Direct
0.143 0.250 0.089
0.296 0.250 0.716
0.356 0.750 0.942
0.644 0.250 0.058
0.704 0.750 0.284
0.857 0.750 0.911
0.014 0.750 0.595
0.210 0.750 0.313
0.466 0.250 0.401
0.534 0.750 0.599
0.790 0.250 0.687
0.986 0.250 0.405
```

(5)
A plane-wave DFT calculation with PBE was carried out for a relaxed YNbBi2Ir2 crystal.

Computed properties:
SG	Pmn2_1, No. 31
total moment	0.0001	μB per atom
E_tot	-7.54	eV per atom

```
YNbBi2Ir2
1.0
4.618 0.000 0.000
0.000 9.194 0.000
0.000 0.000 6.509
Y Nb Bi Ir
2 2 4 4
Direct
0.000 0.127 0.000
0.500 0.873 0.500
0.000 0.620 0.023
0.500 0.380 0.523
0.000 0.124 0.494
0.000 0.628 0.533
0.500 0.372 0.033
0.500 0.876 0.994
0.000 0.391 0.282
0.000 0.852 0.236
0.500 0.148 0.736
0.500 0.609 0.782
```

(6)
A plane-wave DFT calculation with PBE was carried out for a relaxed Rb2TaMoN4 crystal.

Computed properties:
SG	I-4, No. 82
total moment	0.0770	μB per atom
E_tot	-7.84	eV per atom

```
Rb2TaMoN4
1.0
-2.997 2.997 4.340
2.997 -2.997 4.340
2.997 2.997 -4.340
Rb Ta Mo N
2 1 1 4
Direct
0.000 0.000 0.000
0.750 0.250 0.500
0.500 0.500 0.000
0.250 0.750 0.500
0.288 0.628 0.169
0.372 0.541 0.661
0.459 0.119 0.831
0.881 0.712 0.339
```

(7)
A plane-wave DFT calculation with PBE was carried out for a relaxed Dy2Ho2O5 crystal.

Computed properties:
SG	P4/mmm, No. 123
total moment	0.1514	μB per atom
E_tot	-7.67	eV per atom
ΔE to the lowest computed polymorph	18	meV per atom

```
Dy2Ho2O5
1.0
3.895 0.000 0.000
0.000 3.895 0.000
0.000 0.000 9.303
Dy Ho O
2 2 5
Direct
0.000 0.000 0.243
0.000 0.000 0.757
0.500 0.500 0.000
0.500 0.500 0.500
0.000 0.000 0.500
0.000 0.500 0.144
0.000 0.500 0.856
0.500 0.000 0.144
0.500 0.000 0.856
```

(8)
A plane-wave DFT calculation with PBE was carried out for a relaxed ErLu2Fe8Co crystal.

Computed properties:
SG	R-3m, No. 166
total moment	1.3862	μB per atom
E_tot	-7.42	eV per atom
ΔH_f (0 K)	-1.8	eV/f.u.

```
ErLu2Fe8Co
1.0
2.503 1.445 8.006
-2.503 1.445 8.006
0.000 -2.891 8.006
Er Lu Fe Co
1 2 8 1
Direct
0.000 0.000 0.000
0.142 0.142 0.142
0.858 0.858 0.858
0.081 0.583 0.583
0.333 0.333 0.333
0.417 0.417 0.919
0.417 0.919 0.417
0.583 0.081 0.583
0.583 0.583 0.081
0.667 0.667 0.667
0.919 0.417 0.417
0.500 0.500 0.500
```

(9)
A plane-wave DFT calculation with PBE was carried out for a relaxed CsZrFe crystal.

Computed properties:
SG	F-43m, No. 216
total moment	0.1602	μB per atom
E_tot	-4.35	eV per atom
ΔE to the lowest computed polymorph	0	meV per atom

```
CsZrFe
1.0
0.000 3.394 3.394
3.394 0.000 3.394
3.394 3.394 0.000
Cs Zr Fe
1 1 1
Direct
0.000 0.000 0.000
0.500 0.500 0.500
0.250 0.250 0.250
```